No. 1
{
  "formula": "Na5TlCd4",
  "functional": "PBE",
  "state": "relaxed",
  "n_ef_per_ev_cell": 4.0,
  "delta_e_f_ev_per_atom": -0.076,
  "crystal_system": "tetragonal",
  "final_energy_ev_per_cell": -13.38,
  "m_tot_mub_per_fu": 0.00,
  "sg": "No. 123",
  "lattice": [[3.327, 0.000, 0.000], [0.000, 3.327, 0.000], [0.000, 0.000, 24.192]],
  "species": ["Na", "Na", "Na", "Na", "Na", "Tl", "Cd", "Cd", "Cd", "Cd"],
  "fractional_positions": [[0.500, 0.500, 0.105], [0.500, 0.500, 0.302], [0.500, 0.500, 0.500], [0.500, 0.500, 0.698], [0.500, 0.500, 0.895], [0.000, 0.000, 0.000], [0.000, 0.000, 0.204], [0.000, 0.000, 0.401], [0.000, 0.000, 0.599], [0.000, 0.000, 0.796]]
}


No. 2
{
  "formula": "Er3SiAs2Rh9",
  "functional": "PBE",
  "state": "relaxed",
  "n_ef_per_ev_cell": 2.8,
  "e_form_raw_ev_per_atom": -0.501,
  "crystal_system": "trigonal",
  "final_energy_ev_per_cell": -102.09,
  "m_tot_mub_per_fu": 0.00,
  "sg": "No. 164",
  "lattice": [[-4.520, -4.323, 1.004], [4.877, 0.474, 4.014], [-4.282, 5.533, 4.550]],
  "species": ["Er", "Er", "Er", "Si", "As", "As", "Rh", "Rh", "Rh", "Rh", "Rh", "Rh", "Rh", "Rh", "Rh"],
  "fractional_positions": [[0.333, 0.667, 0.715], [0.000, 0.000, 0.000], [0.667, 0.333, 0.285], [0.000, 0.000, 0.500], [0.333, 0.667, 0.186], [0.667, 0.333, 0.814], [0.859, 0.141, 0.712], [0.859, 0.717, 0.712], [0.283, 0.141, 0.712], [0.717, 0.859, 0.288], [0.141, 0.283, 0.288], [0.141, 0.859, 0.288], [0.500, 0.000, 0.000], [0.000, 0.500, 0.000], [0.500, 0.500, 0.000]]
}


No. 3
{
  "formula": "CuOsCl2",
  "functional": "PBE",
  "state": "relaxed",
  "n_ef_per_ev_cell": 2.7,
  "e_form_raw_ev_per_atom": 0.222,
  "crystal_system": "monoclinic",
  "final_energy_ev_per_cell": -18.13,
  "m_tot_mub_per_fu": 0.00,
  "sg": "No. 6",
  "lattice": [[3.025, 0.000, 0.000], [0.000, 3.899, 0.044], [0.000, 1.925, 7.264]],
  "species": ["Os", "Cu", "Cl", "Cl"],
  "fractional_positions": [[0.500, 0.978, 0.668], [0.000, 0.527, 0.573], [0.000, 0.852, 0.913], [0.500, 0.143, 0.346]]
}


No. 4
{
  "formula": "LiPrHgPt",
  "functional": "PBE",
  "state": "relaxed",
  "n_ef_per_ev_cell": 2.5,
  "delta_e_f_ev_per_atom": -0.561,
  "crystal_system": "cubic",
  "final_energy_ev_per_cell": -15.28,
  "m_tot_mub_per_fu": 0.00,
  "sg": "No. 216",
  "lattice": [[5.013, 0.000, 0.000], [2.506, 4.341, 0.000], [2.506, 1.447, 4.093]],
  "species": ["Pr", "Hg", "Pt", "Li"],
  "fractional_positions": [[0.000, 0.000, 0.000], [0.250, 0.250, 0.250], [0.750, 0.750, 0.750], [0.500, 0.500, 0.500]]
}


- Number 2 is which compound?
  Er3SiAs2Rh9